Density functional theory data (GGA-PBE) for a geometry-optimized GeTeW structure.

The space group is Pm (No. 6) and the conventional cell measures 6.5524, 3.2801 and 6.6505 Å, with angles of 90.00, 92.92 and 90.00 degrees. Symmetry generates all atoms from Ge at (0.0000, 0.0000, 0.0000), Ge at (0.3536, 0.0000, 0.5506), Te at (0.4974, 0.5000, 0.9127), Te at (0.8434, 0.5000, 0.3673), W at (0.0892, 0.5000, 0.7124) and W at (0.7456, 0.0000, 0.6787).

The calculated volume comes out at 23.8 A^3/atom. The formation energy (no corrections) comes out at 0.86 eV per formula unit. For the density of states at the Fermi level, the calculation gives 0.399 states/eV per atom. For the polymorph energy (0 for the lowest one), the calculation gives 7.9 kJ/mol of atoms. For the theoretical density, the calculation gives 8.94 g cm⁻³.

Density functional theory data (GGA-PBE) for a geometry-optimized Ba2NdAgTe4 structure.

The space group is P2/m (No. 10) and the conventional cell measures 8.1746, 4.7220 and 8.2917 Å, with angles of 90.00, 110.56 and 90.00 degrees. Symmetry generates all atoms from Ba at (0.0000, 0.0000, 0.0000), Ba at (0.0000, 0.5000, 0.5000), Nd at (0.5000, 0.0000, 0.5000), Ag at (0.5000, 0.5000, 0.0000), Te at (0.2740, 0.5000, 0.2652) and Te at (0.2905, 0.0000, 0.7648).

The calculated volume comes out at 37.5 A^3/atom. The formation energy (no corrections) comes out at -10.11 eV per formula unit. For the density of states at the Fermi level, the calculation gives 0.004 states/eV per atom. For the theoretical density, the calculation gives 5.75 g cm⁻³.